(1)
Here is a relaxed LaTaCr crystal from Alexandria via LeMat-Bulk. Energies are from PBE. Values from VASP.

Calculated values
Total magnetic moment in μB/cell: 0.00
Calculated volume in Å³ per atom: 20.15
Final energy in eV/atom: -8.2121

Structure (Quantum ESPRESSO input):
```
&SYSTEM
  ibrav = 0, nat = 3, ntyp = 3
/
ATOMIC_SPECIES
La 138.91 La.upf
Ta 180.95 Ta.upf
Cr 52.00 Cr.upf
CELL_PARAMETERS angstrom
0.000 2.561 7.230
1.632 0.000 7.230
1.632 2.561 0.000
ATOMIC_POSITIONS crystal
La 0.000 0.000 0.000
Ta 0.705 0.705 0.295
Cr 0.330 0.330 0.670
```


(2)
Here is a relaxed La2TaCr crystal from Alexandria via LeMat-Bulk. Energies are from PBE. Values from VASP.

Calculated values
Total magnetic moment in μB/cell: 3.31
Calculated volume in Å³ per atom: 24.71
Final energy in eV/atom: -7.0841

Structure (Quantum ESPRESSO input):
```
&SYSTEM
  ibrav = 0, nat = 4, ntyp = 3
/
ATOMIC_SPECIES
La 138.91 La.upf
Ta 180.95 Ta.upf
Cr 52.00 Cr.upf
CELL_PARAMETERS angstrom
1.671 0.965 10.220
-1.671 0.965 10.220
0.000 -1.930 10.220
ATOMIC_POSITIONS crystal
La 0.248 0.248 0.248
La 0.752 0.752 0.752
Ta 0.000 0.000 0.000
Cr 0.500 0.500 0.500
```


(3)
Here is a relaxed LaTaCr3 crystal from Alexandria via LeMat-Bulk. Energies are from PBE. Values from VASP.

Calculated values
Total magnetic moment in μB/cell: 7.83
Calculated volume in Å³ per atom: 22.26
Final energy in eV/atom: -8.1263

Structure (Quantum ESPRESSO input):
```
&SYSTEM
  ibrav = 0, nat = 5, ntyp = 3
/
ATOMIC_SPECIES
La 138.91 La.upf
Ta 180.95 Ta.upf
Cr 52.00 Cr.upf
CELL_PARAMETERS angstrom
4.810 0.000 0.000
0.000 4.810 0.000
0.000 0.000 4.810
ATOMIC_POSITIONS crystal
La 0.000 0.000 0.000
Ta 0.500 0.500 0.500
Cr 0.000 0.500 0.500
Cr 0.500 0.000 0.500
Cr 0.500 0.500 0.000
```


Which formula does entry 2 have? La2TaCr